1.
This record from Alexandria describes Cu8Sb at its PBEsol-relaxed geometry. The functional is SCAN.

a = 3.7155 Å, b = 5.8006 Å, c = 5.8006 Å
α = 84.11°, β = 71.32°, γ = 71.32°
Element x y z (fractional)
Cu  0.0000  0.6587  0.3413
Cu  0.6587  0.3413  0.3413
Cu  0.6742  0.0000  0.6516
Cu  0.3258  0.0000  0.3484
Cu  0.0000  0.3413  0.6587
Sb  0.0000  0.0000  0.0000
Cu  0.3258  0.3484  0.0000
Cu  0.6742  0.6516  0.0000
Cu  0.3413  0.6587  0.6587

Calculated values
The value obtained for the magnetization is 0.0000 μB per atom. The calculation puts the formation energy from raw total energies at 52 meV per atom. The total energy comes out at -158.384 eV for the cell shown.

=====

2.
This record from Alexandria describes Ca2CdTe at its PBEsol-relaxed geometry. The functional is SCAN.

a = 4.4008 Å, b = 4.4386 Å, c = 6.3492 Å
α = 90.02°, β = 110.28°, γ = 90.00°
Element x y z (fractional)
Cd  0.4739  0.3752  0.9478
Ca  0.7338  0.3748  0.4676
Ca  0.0108  0.8752  0.0217
Te  0.2815  0.8748  0.5629

Calculated values
The value obtained for the magnetization is 0.0134 μB per atom. The calculation puts the formation energy from raw total energies at -869 meV per atom. The total energy comes out at -90.469 eV for the cell shown.

=====

3.
This record from Alexandria describes Ca3MgBr at its PBEsol-relaxed geometry. The functional is SCAN.

a = 5.5640 Å, b = 5.5640 Å, c = 5.5640 Å
α = 90.00°, β = 90.00°, γ = 90.00°
Each line ends with the local moment (μB).
Element x y z (fractional)
Ca  0.5000  0.0000  0.0000  0.06
Br  0.0000  0.0000  0.0000  0.01
Ca  0.0000  0.5000  0.0000  0.06
Ca  0.0000  0.0000  0.5000  0.06
Mg  0.5000  0.5000  0.5000  0.02

Calculated values
The value obtained for the magnetization is 0.1534 μB per atom. The calculation puts the formation energy from raw total energies at -394 meV per atom. The total energy comes out at -55.395 eV for the cell shown.

=====

4.
This record from Alexandria describes Tl2IrCl at its PBEsol-relaxed geometry. The functional is SCAN.

a = 3.2439 Å, b = 3.2439 Å, c = 7.8314 Å
α = 90.00°, β = 90.00°, γ = 90.04°
Element x y z (fractional)
Tl  0.0000  0.0000  0.2223
Cl  0.5000  0.5000  0.5000
Tl  0.0000  0.0000  0.7777
Ir  0.5000  0.5000  0.0000

Calculated values
The calculation puts the polymorph energy (0 for the lowest one) at 45 meV/atom. The value obtained for the magnetization is 0.0000 μB per atom. The calculation puts the formation energy from raw total energies at 221 meV per atom. The total energy comes out at -222.911 eV for the cell shown.

=====

5.
This record from Alexandria describes NbTe3Os at its PBEsol-relaxed geometry. The functional is SCAN.

a = 5.2729 Å, b = 5.2729 Å, c = 5.2729 Å
α = 90.00°, β = 90.00°, γ = 90.00°
Each line ends with the local moment (μB).
Element x y z (fractional)
Nb  0.0000  0.0000  0.0000  0.45
Te  0.0000  0.0000  0.5000  -0.10
Os  0.5000  0.5000  0.5000  2.68
Te  0.0000  0.5000  0.0000  -0.10
Te  0.5000  0.0000  0.0000  -0.10

Calculated values
The value obtained for the magnetization is 0.7092 μB per atom. The calculation puts the formation energy from raw total energies at 1432 meV per atom. The total energy comes out at -209.601 eV for the cell shown.

=====

6.
This record from Alexandria describes AlCuNi at its PBEsol-relaxed geometry. The functional is SCAN.

a = 2.6433 Å, b = 2.6433 Å, c = 5.9482 Å
α = 90.00°, β = 90.00°, γ = 120.00°
Element x y z (fractional)
Al  0.0000  0.0000  0.0099
Cu  0.3333  0.6667  0.6625
Ni  0.6667  0.3333  0.3276

Calculated values
The calculation puts the polymorph energy (0 for the lowest one) at 267 meV/atom. The value obtained for the magnetization is 0.0001 μB per atom. As for the formation energy: -0.17 eV per atom. The total energy comes out at -39.621 eV for the cell shown.

=====

Q: Which value of magnetization does entry 4 give?
A: 0.0000 μB per atom

=====

Q: Number 1 is which compound?
A: Cu8Sb

=====

Please write out number 6 again, unchanged.
This record from Alexandria describes AlCuNi at its PBEsol-relaxed geometry. The functional is SCAN.

a = 2.6433 Å, b = 2.6433 Å, c = 5.9482 Å
α = 90.00°, β = 90.00°, γ = 120.00°
Element x y z (fractional)
Al  0.0000  0.0000  0.0099
Cu  0.3333  0.6667  0.6625
Ni  0.6667  0.3333  0.3276

Calculated values
The calculation puts the polymorph energy (0 for the lowest one) at 267 meV/atom. The value obtained for the magnetization is 0.0001 μB per atom. As for the formation energy: -0.17 eV per atom. The total energy comes out at -39.621 eV for the cell shown.

=====

Q: The highest magnetization belongs to which entry?
A: NbTe3Os